[1]
Density functional theory data (PBE-GGA) for LiMnAl6 after structural relaxation.

mass density = 2.834 g/cm³
energy = -33.0 eV per cell
ΔE_f = 68 meV per atom

```
LiMnAl6
1.0
3.216 -4.450 0.000
3.216 4.450 0.000
-2.981 0.000 4.581
Li Mn Al
1 1 6
Direct
0.000 0.000 0.000
0.500 0.500 0.500
0.245 0.245 0.731
0.245 0.732 0.245
0.268 0.755 0.755
0.732 0.245 0.245
0.755 0.268 0.755
0.755 0.755 0.269
```

[2]
Density functional theory data (PBE-GGA) for PrErTh2 after structural relaxation.

mass density = 9.789 g/cm³
energy = -23.4 eV per cell
ΔE_f = 193 meV per atom
energy relative to the lowest polymorph listed for this composition = 0.65 eV/f.u.

```
PrErTh2
1.0
0.000 4.031 4.031
4.031 0.000 4.031
4.031 4.031 0.000
Pr Er Th
1 1 2
Direct
0.000 0.000 0.000
0.500 0.500 0.500
0.250 0.250 0.250
0.750 0.750 0.750
```